No. 1
DFT (PBEsol) results for Ti2ZnH2 after structural relaxation.

It has space group I4/mmm (No. 139), with a = 3.331 Å, b = 3.331 Å, c = 9.047 Å, α = 90.00°, β = 90.00° and γ = 90.00°. The asymmetric unit holds Ti at (0.000, 0.000, 0.153), Zn at (0.000, 0.000, 0.500) and H at (0.000, 0.500, 0.250).

=====

No. 2
DFT (PBEsol) results for TiPPt3 after structural relaxation.

It has space group Pm-3m (No. 221), with a = 4.444 Å, b = 4.444 Å, c = 4.444 Å, α = 90.00°, β = 90.00° and γ = 90.00°. The asymmetric unit holds Ti at (0.000, 0.000, 0.000), P at (0.500, 0.500, 0.500) and Pt at (0.000, 0.500, 0.500).

The calculation puts the formation energy at 0.055 eV/atom.

=====

| no. | raw total energy (eV/atom) |
| --- | --- |
| 1 | -5.360 |
| 2 | -6.946 |